No. 1
VASP calculation (PBE-GGA) on a geometry-optimized NdGdGaHg structure.

Cell: 5.285 5.285 5.285 Å, 60.00 60.00 60.00°
Each line ends with the local moment (μB).
Fractional positions:
Ga (0.000, 0.000, 0.000)  0.01
Nd (0.250, 0.250, 0.250)  -0.20
Gd (0.750, 0.750, 0.750)  -7.26
Hg (0.500, 0.500, 0.500)  -0.04

Computed properties:
M_tot: 8.0 Bohr magnetons per cell
formation enthalpy at 0 K: -0.52 eV per atom


No. 2
VASP calculation (PBE-GGA) on a geometry-optimized GdGaHgPb structure.

Cell: 5.260 5.260 5.260 Å, 60.00 60.00 60.00°
Each line ends with the local moment (μB).
Fractional positions:
Gd (0.000, 0.000, 0.000)  6.98
Hg (0.750, 0.750, 0.750)  0.01
Pb (0.500, 0.500, 0.500)  0.00
Ga (0.250, 0.250, 0.250)  0.02

Computed properties:
M_tot: 7.2 Bohr magnetons per cell
formation enthalpy at 0 K: -0.25 eV per atom


No. 3
VASP calculation (PBE-GGA) on a geometry-optimized GdScGaHg structure.

Cell: 5.069 5.069 5.069 Å, 60.00 60.00 60.00°
Each line ends with the local moment (μB).
Fractional positions:
Gd (0.000, 0.000, 0.000)  7.12
Hg (0.750, 0.750, 0.750)  0.02
Sc (0.500, 0.500, 0.500)  0.26
Ga (0.250, 0.250, 0.250)  -0.03

Computed properties:
M_tot: 7.7 Bohr magnetons per cell
formation enthalpy at 0 K: -0.49 eV per atom


No. 4
VASP calculation (PBE-GGA) on a geometry-optimized GdGaSnHg structure.

Cell: 5.167 5.167 5.167 Å, 60.00 60.00 60.00°
Each line ends with the local moment (μB).
Fractional positions:
Hg (0.000, 0.000, 0.000)  0.01
Ga (0.500, 0.500, 0.500)  0.01
Gd (0.750, 0.750, 0.750)  6.97
Sn (0.250, 0.250, 0.250)  0.00

Computed properties:
M_tot: 7.1 Bohr magnetons per cell
formation enthalpy at 0 K: -0.30 eV per atom


No. 5
VASP calculation (PBE-GGA) on a geometry-optimized SrGdGaHg structure.

Cell: 5.401 5.401 5.401 Å, 60.00 60.00 60.00°
Each line ends with the local moment (μB).
Fractional positions:
Ga (0.250, 0.250, 0.250)  -0.01
Gd (0.000, 0.000, 0.000)  7.00
Sr (0.500, 0.500, 0.500)  0.00
Hg (0.750, 0.750, 0.750)  0.00

Computed properties:
M_tot: 7.1 Bohr magnetons per cell
formation enthalpy at 0 K: -0.45 eV per atom


No. 6
VASP calculation (PBE-GGA) on a geometry-optimized TbGdGaHg structure.

Cell: 5.207 5.207 5.207 Å, 60.00 60.00 60.00°
Each line ends with the local moment (μB).
Fractional positions:
Ga (0.250, 0.250, 0.250)  -0.01
Hg (0.750, 0.750, 0.750)  0.03
Gd (0.000, 0.000, 0.000)  7.23
Tb (0.500, 0.500, 0.500)  0.24

Computed properties:
M_tot: 7.9 Bohr magnetons per cell
formation enthalpy at 0 K: -0.53 eV per atom


No. 7
VASP calculation (PBE-GGA) on a geometry-optimized GdThGaHg structure.

Cell: 5.290 5.290 5.290 Å, 60.00 60.00 60.00°
Each line ends with the local moment (μB).
Fractional positions:
Gd (0.000, 0.000, 0.000)  7.09
Hg (0.750, 0.750, 0.750)  -0.01
Ga (0.250, 0.250, 0.250)  -0.04
Th (0.500, 0.500, 0.500)  0.05

Computed properties:
M_tot: 7.3 Bohr magnetons per cell
formation enthalpy at 0 K: -0.39 eV per atom


No. 8
VASP calculation (PBE-GGA) on a geometry-optimized GdTlGaHg structure.

Cell: 5.199 5.199 5.199 Å, 60.00 60.00 60.00°
Each line ends with the local moment (μB).
Fractional positions:
Ga (0.250, 0.250, 0.250)  0.00
Gd (0.000, 0.000, 0.000)  6.94
Tl (0.500, 0.500, 0.500)  0.00
Hg (0.750, 0.750, 0.750)  -0.01

Computed properties:
M_tot: 7.0 Bohr magnetons per cell
formation enthalpy at 0 K: -0.23 eV per atom


No. 9
VASP calculation (PBE-GGA) on a geometry-optimized GdTmGaHg structure.

Cell: 5.173 5.173 5.173 Å, 60.00 60.00 60.00°
Each line ends with the local moment (μB).
Fractional positions:
Hg (0.750, 0.750, 0.750)  -0.03
Tm (0.500, 0.500, 0.500)  -0.19
Ga (0.250, 0.250, 0.250)  0.02
Gd (0.000, 0.000, 0.000)  -7.14

Computed properties:
M_tot: 7.6 Bohr magnetons per cell
formation enthalpy at 0 K: -0.52 eV per atom


No. 10
VASP calculation (PBE-GGA) on a geometry-optimized GdZrGaHg structure.

Cell: 5.050 5.050 5.050 Å, 60.00 60.00 60.00°
Each line ends with the local moment (μB).
Fractional positions:
Gd (0.250, 0.250, 0.250)  7.04
Hg (0.500, 0.500, 0.500)  -0.01
Zr (0.750, 0.750, 0.750)  0.02
Ga (0.000, 0.000, 0.000)  -0.02

Computed properties:
M_tot: 7.1 Bohr magnetons per cell
formation enthalpy at 0 K: -0.34 eV per atom


No. 11
VASP calculation (PBE-GGA) on a geometry-optimized Gd2HoGa structure.

Cell: 3.535 3.535 8.959 Å, 90.00 90.00 90.00°
Each line ends with the local moment (μB).
Fractional positions:
Ga (0.500, 0.500, 0.000)  -0.03
Ho (0.500, 0.500, 0.500)  0.02
Gd (0.000, 0.000, 0.212)  7.10
Gd (0.000, 0.000, 0.788)  7.10

Computed properties:
M_tot: 14.6 Bohr magnetons per cell
formation enthalpy at 0 K: -0.26 eV per atom
energy relative to the lowest polymorph listed for this composition: 0.0 meV per atom


No. 12
VASP calculation (PBE-GGA) on a geometry-optimized GdHoGa2 structure.

Cell: 3.570 3.570 7.221 Å, 90.00 90.00 90.00°
Each line ends with the local moment (μB).
Fractional positions:
Ga (0.000, 0.000, 0.757)  -0.01
Ga (0.000, 0.000, 0.243)  -0.01
Gd (0.500, 0.500, 0.500)  7.10
Ho (0.500, 0.500, 0.000)  -0.07

Computed properties:
M_tot: 7.2 Bohr magnetons per cell
formation enthalpy at 0 K: -0.59 eV per atom
energy relative to the lowest polymorph listed for this composition: 0.0 meV per atom


No. 13
VASP calculation (PBE-GGA) on a geometry-optimized Gd2HoGa structure.

Cell: 3.485 3.485 11.911 Å, 81.59 81.59 60.00°
Each line ends with the local moment (μB).
Fractional positions:
Ga (0.000, 0.000, 0.000)  0.02
Gd (0.914, 0.914, 0.258)  7.23
Gd (0.086, 0.086, 0.742)  7.23
Ho (0.500, 0.500, 0.500)  -0.16

Computed properties:
M_tot: 14.8 Bohr magnetons per cell
formation enthalpy at 0 K: 0.15 eV per atom
energy relative to the lowest polymorph listed for this composition: 409.0 meV per atom


No. 14
VASP calculation (PBE-GGA) on a geometry-optimized GdHoGa2 structure.

Cell: 5.065 5.065 5.065 Å, 60.00 60.00 60.00°
Each line ends with the local moment (μB).
Fractional positions:
Ga (0.250, 0.250, 0.250)  -0.03
Ho (0.000, 0.000, 0.000)  0.00
Ga (0.750, 0.750, 0.750)  -0.03
Gd (0.500, 0.500, 0.500)  7.00

Computed properties:
M_tot: 7.0 Bohr magnetons per cell
formation enthalpy at 0 K: -0.58 eV per atom
energy relative to the lowest polymorph listed for this composition: 7.9 meV per atom


No. 15
VASP calculation (PBE-GGA) on a geometry-optimized GdHoGa4 structure.

Cell: 5.518 5.518 5.518 Å, 60.00 60.00 60.00°
Each line ends with the local moment (μB).
Fractional positions:
Ga (0.625, 0.625, 0.125)  -0.01
Ga (0.125, 0.625, 0.625)  -0.01
Ga (0.625, 0.125, 0.625)  -0.01
Ga (0.625, 0.625, 0.625)  -0.01
Gd (0.000, 0.000, 0.000)  7.14
Ho (0.250, 0.250, 0.250)  0.14

Computed properties:
M_tot: 7.5 Bohr magnetons per cell
formation enthalpy at 0 K: -0.56 eV per atom


No. 16
VASP calculation (PBE-GGA) on a geometry-optimized GdHoGa structure.

Cell: 4.975 4.975 4.975 Å, 60.00 60.00 60.00°
Each line ends with the local moment (μB).
Fractional positions:
Gd (0.000, 0.000, 0.000)  7.17
Ho (0.500, 0.500, 0.500)  0.21
Ga (0.250, 0.250, 0.250)  -0.02

Computed properties:
M_tot: 7.7 Bohr magnetons per cell
formation enthalpy at 0 K: -0.26 eV per atom
energy relative to the lowest polymorph listed for this composition: 107.4 meV per atom


No. 17
VASP calculation (PBE-GGA) on a geometry-optimized GdHoGa structure.

Cell: 3.512 3.512 6.914 Å, 104.71 104.71 90.00°
Each line ends with the local moment (μB).
Fractional positions:
Gd (0.313, 0.313, 0.625)  7.14
Ga (0.664, 0.664, 0.328)  -0.01
Ho (0.023, 0.023, 0.046)  -0.01

Computed properties:
M_tot: 7.4 Bohr magnetons per cell
formation enthalpy at 0 K: -0.37 eV per atom
energy relative to the lowest polymorph listed for this composition: 0.0 meV per atom


No. 18
VASP calculation (PBE-GGA) on a geometry-optimized Gd2HoGa structure.

Cell: 5.337 5.337 5.337 Å, 60.00 60.00 60.00°
Each line ends with the local moment (μB).
Fractional positions:
Ho (0.000, 0.000, 0.000)  0.36
Gd (0.750, 0.750, 0.750)  7.27
Ga (0.500, 0.500, 0.500)  -0.02
Gd (0.250, 0.250, 0.250)  7.27

Computed properties:
M_tot: 15.5 Bohr magnetons per cell
formation enthalpy at 0 K: -0.12 eV per atom
energy relative to the lowest polymorph listed for this composition: 144.4 meV per atom


No. 19
VASP calculation (PBE-GGA) on a geometry-optimized GdHoGa structure.

Cell: 3.663 4.971 4.971 Å, 120.00 90.00 90.00°
Each line ends with the local moment (μB).
Fractional positions:
Ho (0.923, 0.000, 0.000)  -0.02
Ga (0.697, 0.667, 0.333)  0.03
Gd (0.381, 0.333, 0.667)  -7.08

Computed properties:
M_tot: 7.2 Bohr magnetons per cell
formation enthalpy at 0 K: -0.27 eV per atom
energy relative to the lowest polymorph listed for this composition: 96.4 meV per atom


No. 20
VASP calculation (PBE-GGA) on a geometry-optimized Gd2HoGa structure.

Cell: 4.783 4.715 4.715 Å, 90.00 90.00 90.00°
Each line ends with the local moment (μB).
Fractional positions:
Gd (0.000, 0.500, 0.000)  7.30
Gd (0.000, 0.000, 0.500)  7.30
Ho (0.500, 0.500, 0.500)  0.29
Ga (0.500, 0.000, 0.000)  -0.06

Computed properties:
M_tot: 15.4 Bohr magnetons per cell
formation enthalpy at 0 K: -0.26 eV per atom
energy relative to the lowest polymorph listed for this composition: 1.3 meV per atom